DFT (PBE) results for an optimized crystal structure of LiBeAs2.

Summary:
The energy above the most stable polymorph in this dataset comes out at 0.269 eV/atom. The value obtained for the formation energy is 0.057 eV per atom. Its space group is P4/mmm. The value obtained for the total energy is -3.68 eV/atom.

abc: 4.1357 4.1357 3.5495
angles: 90.00 90.00 90.00
Fractional positions:
Li: 0.0000 0.0000 0.0000
Be: 0.5000 0.5000 0.0000
As: 0.0000 0.5000 0.5000
As: 0.5000 0.0000 0.5000

=====

DFT (PBE) results for an optimized crystal structure of LiBeAs2.

Summary:
The energy above the most stable polymorph in this dataset comes out at 0.326 eV/atom. The value obtained for the formation energy is 0.114 eV per atom. Its space group is P4mm. The value obtained for the total energy is -3.62 eV/atom.

abc: 3.5361 3.5361 4.9171
angles: 90.00 90.00 90.00
Fractional positions:
Li: 0.0000 0.0000 0.0000
Be: 0.5000 0.5000 0.6573
As: 0.0000 0.0000 0.5087
As: 0.5000 0.5000 0.1724

=====

DFT (PBE) results for an optimized crystal structure of Li2BeAs.

Summary:
The energy above the most stable polymorph in this dataset comes out at 0.365 eV/atom. The value obtained for the formation energy is 0.132 eV per atom. Its space group is R-3m. The value obtained for the total energy is -2.92 eV/atom.

abc: 8.7512 8.7512 8.7512
angles: 18.83 18.83 18.83
Fractional positions:
Li: 0.2472 0.2472 0.2472
Li: 0.7528 0.7528 0.7528
Be: 0.0000 0.0000 0.0000
As: 0.5000 0.5000 0.5000

=====

DFT (PBE) results for an optimized crystal structure of LiBe2As.

Summary:
The energy above the most stable polymorph in this dataset comes out at 0.015 eV/atom. The value obtained for the formation energy is 0.092 eV per atom. Its space group is Pmm2. The value obtained for the total energy is -3.41 eV/atom.

abc: 2.7806 3.5303 5.6575
angles: 90.00 90.00 90.00
Fractional positions:
Li: 0.0000 0.0000 0.0000
Be: 0.0000 0.5000 0.3601
Be: 0.5000 0.0000 0.4175
As: 0.5000 0.5000 0.6945

=====

DFT (PBE) results for an optimized crystal structure of Li2BeAs.

Summary:
The energy above the most stable polymorph in this dataset comes out at 0.012 eV/atom. The value obtained for the formation energy is -0.221 eV per atom. Its space group is Pm. The value obtained for the total energy is -3.27 eV/atom.

abc: 2.9428 3.8353 5.2683
angles: 90.00 105.61 90.00
Fractional positions:
Li: 0.0000 0.0000 0.0000
Li: 0.3302 0.5000 0.6744
Be: 0.7293 0.0000 0.4681
As: 0.6109 0.5000 0.2248

=====

DFT (PBE) results for an optimized crystal structure of LiBeAs2.

Summary:
The energy above the most stable polymorph in this dataset comes out at 0.194 eV/atom. The value obtained for the formation energy is -0.019 eV per atom. Its space group is Pmm2. The value obtained for the total energy is -3.75 eV/atom.

abc: 2.6517 3.8212 6.8669
angles: 90.00 90.00 90.00
Fractional positions:
Li: 0.0000 0.0000 0.0000
Be: 0.5000 0.5000 0.7972
As: 0.0000 0.0000 0.6225
As: 0.5000 0.5000 0.1379